Here is Ta3Re after structural relaxation from Alexandria. Energies are from GGA-PBE.

Summary:
Density   17.55 g/cm3
Energy relative to the elements   -0.989 eV/f.u.
M_tot   0.0 μB/f.u.
Symmetry   P4/mmm, No. 123
DOS(E_F)   2.7 states/eV/f.u.

Structure (CIF):
```
data_Ta3Re
_cell_length_a 3.2232
_cell_length_b 6.6383
_cell_length_c 3.2232
_cell_angle_alpha 90.00
_cell_angle_beta 90.00
_cell_angle_gamma 90.00
_space_group_name_H-M_alt 'P 1'
_space_group_IT_number 1
_space_group_name_Hall 'P 1'
loop_
_atom_site_label
_atom_site_type_symbol
_atom_site_fract_x
_atom_site_fract_y
_atom_site_fract_z
Ta1 Ta 0.0000 0.5000 0.0000
Ta2 Ta 0.5000 0.7604 0.5000
Ta3 Ta 0.5000 0.2396 0.5000
Re1 Re 0.0000 0.0000 0.0000
```

Here is Ta6Re7 after structural relaxation from Alexandria. Energies are from GGA-PBE.

Summary:
Density   18.06 g/cm3
Energy relative to the elements   -2.460 eV/f.u.
M_tot   0.0 μB/f.u.
Symmetry   R-3m, No. 166
DOS(E_F)   10.9 states/eV/f.u.

Structure (CIF):
```
data_Ta6Re7
_cell_length_a 9.8624
_cell_length_b 9.8624
_cell_length_c 9.8624
_cell_angle_alpha 30.55
_cell_angle_beta 30.55
_cell_angle_gamma 30.55
_space_group_name_H-M_alt 'P 1'
_space_group_IT_number 1
_space_group_name_Hall 'P 1'
loop_
_atom_site_label
_atom_site_type_symbol
_atom_site_fract_x
_atom_site_fract_y
_atom_site_fract_z
Re1 Re 0.5913 0.0858 0.5913
Re2 Re 0.0858 0.5913 0.5913
Re3 Re 0.5000 0.5000 0.5000
Re4 Re 0.5913 0.5913 0.0858
Re5 Re 0.4087 0.9142 0.4087
Re6 Re 0.4087 0.4087 0.9142
Re7 Re 0.9142 0.4087 0.4087
Ta1 Ta 0.0482 0.0482 0.0482
Ta2 Ta 0.8469 0.8469 0.8469
Ta3 Ta 0.6663 0.6663 0.6663
Ta4 Ta 0.9518 0.9518 0.9518
Ta5 Ta 0.3337 0.3337 0.3337
Ta6 Ta 0.1531 0.1531 0.1531
```

Here is TaRe2 after structural relaxation from Alexandria. Energies are from GGA-PBE.

Summary:
Density   19.19 g/cm3
Energy relative to the elements   -0.413 eV/f.u.
M_tot   0.0 μB/f.u.
Symmetry   Cmcm, No. 63
DOS(E_F)   2.1 states/eV/f.u.

Structure (CIF):
```
data_TaRe2
_cell_length_a 6.9017
_cell_length_b 6.9017
_cell_length_c 4.4950
_cell_angle_alpha 90.00
_cell_angle_beta 90.00
_cell_angle_gamma 153.43
_space_group_name_H-M_alt 'P 1'
_space_group_IT_number 1
_space_group_name_Hall 'P 1'
loop_
_atom_site_label
_atom_site_type_symbol
_atom_site_fract_x
_atom_site_fract_y
_atom_site_fract_z
Re1 Re 0.2468 0.7532 0.2500
Re2 Re 0.9157 0.0843 0.2500
Re3 Re 0.0843 0.9157 0.7500
Re4 Re 0.7532 0.2468 0.7500
Ta1 Ta 0.4155 0.5845 0.7500
Ta2 Ta 0.5845 0.4155 0.2500
```

Here is Ta2Re after structural relaxation from Alexandria. Energies are from GGA-PBE.

Summary:
Density   15.09 g/cm3
Energy relative to the elements   0.837 eV/f.u.
M_tot   0.0 μB/f.u.
Symmetry   Fm-3m, No. 225
DOS(E_F)   1.3 states/eV/f.u.

Structure (CIF):
```
data_Ta2Re
_cell_length_a 4.4024
_cell_length_b 4.4024
_cell_length_c 4.4024
_cell_angle_alpha 60.00
_cell_angle_beta 60.00
_cell_angle_gamma 60.00
_space_group_name_H-M_alt 'P 1'
_space_group_IT_number 1
_space_group_name_Hall 'P 1'
loop_
_atom_site_label
_atom_site_type_symbol
_atom_site_fract_x
_atom_site_fract_y
_atom_site_fract_z
Re1 Re 0.0000 0.0000 0.0000
Ta1 Ta 0.7500 0.7500 0.7500
Ta2 Ta 0.2500 0.2500 0.2500
```

Here is Ta2Re after structural relaxation from Alexandria. Energies are from GGA-PBE.

Summary:
Density   15.16 g/cm3
Energy relative to the elements   1.245 eV/f.u.
M_tot   0.0 μB/f.u.
Symmetry   P4/mmm, No. 123
DOS(E_F)   3.5 states/eV/f.u.

Structure (CIF):
```
data_Ta2Re
_cell_length_a 4.3892
_cell_length_b 4.3892
_cell_length_c 3.1173
_cell_angle_alpha 90.00
_cell_angle_beta 90.00
_cell_angle_gamma 90.00
_space_group_name_H-M_alt 'P 1'
_space_group_IT_number 1
_space_group_name_Hall 'P 1'
loop_
_atom_site_label
_atom_site_type_symbol
_atom_site_fract_x
_atom_site_fract_y
_atom_site_fract_z
Re1 Re 0.0000 0.0000 0.0000
Ta1 Ta 0.0000 0.5000 0.5000
Ta2 Ta 0.5000 0.0000 0.5000
```

Here is TbTaRe after structural relaxation from Alexandria. Energies are from GGA-PBE.

Summary:
Density   13.65 g/cm3
Energy relative to the elements   0.355 eV/f.u.
M_tot   0.0 μB/f.u.
Symmetry   Fmmm, No. 69
DOS(E_F)   2.9 states/eV/f.u.

Structure (CIF):
```
data_TbTaRe
_cell_length_a 5.2271
_cell_length_b 5.2271
_cell_length_c 5.8418
_cell_angle_alpha 106.05
_cell_angle_beta 106.05
_cell_angle_gamma 112.46
_space_group_name_H-M_alt 'P 1'
_space_group_IT_number 1
_space_group_name_Hall 'P 1'
loop_
_atom_site_label
_atom_site_type_symbol
_atom_site_fract_x
_atom_site_fract_y
_atom_site_fract_z
Ta1 Ta 0.8213 0.8213 0.6426
Ta2 Ta 0.1787 0.1787 0.3574
Re1 Re 0.2500 0.7500 0.5000
Re2 Re 0.7500 0.2500 0.5000
Tb1 Tb 0.6781 0.3219 0.0000
Tb2 Tb 0.3219 0.6781 0.0000
```

Here is Ta6Re5Tc after structural relaxation from Alexandria. Energies are from GGA-PBE.

Summary:
Density   17.87 g/cm3
Energy relative to the elements   -5.214 eV/f.u.
M_tot   0.0 μB/f.u.
Symmetry   Cmmm, No. 65
DOS(E_F)   3.0 states/eV/f.u.

Structure (CIF):
```
data_Ta6Re5Tc
_cell_length_a 4.5261
_cell_length_b 6.3953
_cell_length_c 7.1564
_cell_angle_alpha 90.00
_cell_angle_beta 108.44
_cell_angle_gamma 90.00
_space_group_name_H-M_alt 'P 1'
_space_group_IT_number 1
_space_group_name_Hall 'P 1'
loop_
_atom_site_label
_atom_site_type_symbol
_atom_site_fract_x
_atom_site_fract_y
_atom_site_fract_z
Re1 Re 0.3333 0.5000 0.6666
Re2 Re 0.0000 0.5000 0.0000
Re3 Re 0.6667 0.5000 0.3334
Re4 Re 0.6664 0.0000 0.3330
Re5 Re 0.3336 0.0000 0.6670
Ta1 Ta 0.1665 0.7502 0.3331
Ta2 Ta 0.1665 0.2498 0.3332
Ta3 Ta 0.8335 0.7502 0.6668
Ta4 Ta 0.5000 0.2496 0.0000
Ta5 Ta 0.8335 0.2498 0.6669
Ta6 Ta 0.5000 0.7504 0.0000
Tc1 Tc 0.0000 0.0000 0.0000
```

Here is Ta4ReTc3 after structural relaxation from Alexandria. Energies are from GGA-PBE.

Summary:
Density   15.38 g/cm3
Energy relative to the elements   -3.825 eV/f.u.
M_tot   0.0 μB/f.u.
Symmetry   P4/mmm, No. 123
DOS(E_F)   2.1 states/eV/f.u.

Structure (CIF):
```
data_Ta4ReTc3
_cell_length_a 3.1911
_cell_length_b 3.1911
_cell_length_c 12.7670
_cell_angle_alpha 90.00
_cell_angle_beta 90.00
_cell_angle_gamma 90.00
_space_group_name_H-M_alt 'P 1'
_space_group_IT_number 1
_space_group_name_Hall 'P 1'
loop_
_atom_site_label
_atom_site_type_symbol
_atom_site_fract_x
_atom_site_fract_y
_atom_site_fract_z
Ta1 Ta 0.0000 0.0000 0.1257
Ta2 Ta 0.0000 0.0000 0.6248
Ta3 Ta 0.0000 0.0000 0.3752
Ta4 Ta 0.0000 0.0000 0.8743
Re1 Re 0.5000 0.5000 0.0000
Tc1 Tc 0.5000 0.5000 0.5000
Tc2 Tc 0.5000 0.5000 0.2506
Tc3 Tc 0.5000 0.5000 0.7494
```

Here is TaRe3Tc after structural relaxation from Alexandria. Energies are from GGA-PBE.

Summary:
Density   13.43 g/cm3
Energy relative to the elements   12.520 eV/f.u.
ΔE to the lowest computed polymorph   0.574 eV per atom
M_tot   1.9 μB/f.u.
Symmetry   Pm-3m, No. 221
DOS(E_F)   4.6 states/eV/f.u.

Structure (CIF):
```
data_TaRe3Tc
_cell_length_a 4.6964
_cell_length_b 4.6964
_cell_length_c 4.6964
_cell_angle_alpha 90.00
_cell_angle_beta 90.00
_cell_angle_gamma 90.00
_space_group_name_H-M_alt 'P 1'
_space_group_IT_number 1
_space_group_name_Hall 'P 1'
loop_
_atom_site_label
_atom_site_type_symbol
_atom_site_fract_x
_atom_site_fract_y
_atom_site_fract_z
Re1 Re 0.0000 0.0000 0.5000
Re2 Re 0.5000 0.0000 0.0000
Re3 Re 0.0000 0.5000 0.0000
Ta1 Ta 0.0000 0.0000 0.0000
Tc1 Tc 0.5000 0.5000 0.5000
```

Here is Ta2ReTc after structural relaxation from Alexandria. Energies are from GGA-PBE.

Summary:
Density   16.46 g/cm3
Energy relative to the elements   -1.827 eV/f.u.
M_tot   0.0 μB/f.u.
Symmetry   Fm-3m, No. 225
DOS(E_F)   1.0 states/eV/f.u.

Structure (CIF):
```
data_Ta2ReTc
_cell_length_a 4.5171
_cell_length_b 4.5171
_cell_length_c 4.5171
_cell_angle_alpha 60.00
_cell_angle_beta 60.00
_cell_angle_gamma 60.00
_space_group_name_H-M_alt 'P 1'
_space_group_IT_number 1
_space_group_name_Hall 'P 1'
loop_
_atom_site_label
_atom_site_type_symbol
_atom_site_fract_x
_atom_site_fract_y
_atom_site_fract_z
Re1 Re 0.2500 0.2500 0.2500
Tc1 Tc 0.7500 0.7500 0.7500
Ta1 Ta 0.0000 0.0000 0.0000
Ta2 Ta 0.5000 0.5000 0.5000
```

Here is Ta4Re3Tc after structural relaxation from Alexandria. Energies are from GGA-PBE.

Summary:
Density   17.52 g/cm3
Energy relative to the elements   -3.523 eV/f.u.
M_tot   0.0 μB/f.u.
Symmetry   P4/mmm, No. 123
DOS(E_F)   2.3 states/eV/f.u.

Structure (CIF):
```
data_Ta4Re3Tc
_cell_length_a 3.1980
_cell_length_b 3.1980
_cell_length_c 12.7957
_cell_angle_alpha 90.00
_cell_angle_beta 90.00
_cell_angle_gamma 90.00
_space_group_name_H-M_alt 'P 1'
_space_group_IT_number 1
_space_group_name_Hall 'P 1'
loop_
_atom_site_label
_atom_site_type_symbol
_atom_site_fract_x
_atom_site_fract_y
_atom_site_fract_z
Re1 Re 0.5000 0.5000 0.5000
Re2 Re 0.5000 0.5000 0.7507
Re3 Re 0.5000 0.5000 0.2493
Ta1 Ta 0.0000 0.0000 0.1244
Ta2 Ta 0.0000 0.0000 0.3748
Ta3 Ta 0.0000 0.0000 0.8756
Ta4 Ta 0.0000 0.0000 0.6252
Tc1 Tc 0.5000 0.5000 0.0000
```

Here is Ta4ReTc after structural relaxation from Alexandria. Energies are from GGA-PBE.

Summary:
Density   16.48 g/cm3
Energy relative to the elements   -2.192 eV/f.u.
ΔE to the lowest computed polymorph   0.000 eV per atom
M_tot   0.0 μB/f.u.
Symmetry   P4/mmm, No. 123
DOS(E_F)   2.4 states/eV/f.u.

Structure (CIF):
```
data_Ta4ReTc
_cell_length_a 3.2103
_cell_length_b 3.2103
_cell_length_c 9.8575
_cell_angle_alpha 90.00
_cell_angle_beta 90.00
_cell_angle_gamma 90.00
_space_group_name_H-M_alt 'P 1'
_space_group_IT_number 1
_space_group_name_Hall 'P 1'
loop_
_atom_site_label
_atom_site_type_symbol
_atom_site_fract_x
_atom_site_fract_y
_atom_site_fract_z
Ta1 Ta 0.0000 0.0000 0.6597
Ta2 Ta 0.5000 0.5000 0.1608
Ta3 Ta 0.5000 0.5000 0.8392
Ta4 Ta 0.0000 0.0000 0.3403
Re1 Re 0.0000 0.0000 0.0000
Tc1 Tc 0.5000 0.5000 0.5000
```

- density of number 2 (Ta6Re7)?
  18.06 g/cm3